# YCu2Tc

A relaxed structure of YCu2Tc (PBE-GGA, Alexandria).

Summary:
As for the crystal system: cubic. Its energy relative to the lowest polymorph listed for this composition is 250 meV/atom. For the density of states at the Fermi level, the calculation gives 6.1 states/eV/f.u. For the energy of formation from the pure elements, the calculation gives 36.44 kJ per mole of atoms. For the total magnetization, the calculation gives 1.6 μB per formula unit. The total energy is -23.51 eV/cell. As for the volume: 67.1 Å³/cell.

```
4
Lattice="-3.517 -1.211 2.641 -2.501 -3.662 -1.070 0.260 -3.767 2.560" Properties=species:S:1:pos:R:3 pbc="T T T"
Cu -1.439 -2.160 1.033
Cu 0.000 0.000 0.000
Y -4.318 -6.480 3.098
Tc -2.879 -4.320 2.066
```